Li3C5 | PBE | relaxed

Lattice parameters (Å, degrees): 5.9582 2.5951 9.8280 90.00 106.02 90.00
Sites, in units of the cell vectors:
Li (0.0000, 0.0000, 0.0000)
Li (0.0634, 0.5000, 0.6504)
Li (0.3852, 0.5000, 0.0981)
Li (0.4829, 0.0000, 0.5066)
Li (0.7586, 0.5000, 0.8080)
Li (0.8533, 0.0000, 0.2141)
C (0.1730, 0.5000, 0.8827)
C (0.2519, 0.2499, 0.2763)
C (0.2519, 0.7501, 0.2763)
C (0.3099, 0.0000, 0.8703)
C (0.3912, 0.0000, 0.7253)
C (0.4287, 0.5000, 0.6661)
C (0.5696, 0.0000, 0.9816)
C (0.6864, 0.5000, 0.0275)
C (0.8202, 0.2497, 0.4341)
C (0.8202, 0.7503, 0.4341)

Calculated values
E above lowest polymorph: 0.00 eV/f.u.
Electronic total energy: -6.135 eV/atom
M_tot: 0.0 Bohr magnetons per cell